Here is a relaxed structure of Lu2ZrW from OQMD. Energies are from GGA-PBE. Values from VASP.

Structure (Quantum ESPRESSO input):
```
&SYSTEM
  ibrav = 0, nat = 4, ntyp = 3
/
ATOMIC_SPECIES
Lu 174.97 Lu.upf
Zr 91.22 Zr.upf
W 183.84 W.upf
CELL_PARAMETERS angstrom
0.000 3.550 3.550
3.550 0.000 3.550
3.550 3.550 0.000
ATOMIC_POSITIONS crystal
Lu 0.000 0.000 0.000
Lu 0.250 0.250 0.250
Zr 0.750 0.750 0.750
W 0.500 0.500 0.500
```

Properties
The calculation puts the volume at 22.37 A^3/atom. The calculation puts the uncorrected energy at -29.27 eV per formula unit. The value obtained for the energy of formation from the pure elements is 0.32 eV/atom.



Here is a relaxed structure of Te3WSBr from OQMD. Energies are from GGA-PBE. Values from VASP.

Structure (Quantum ESPRESSO input):
```
&SYSTEM
  ibrav = 0, nat = 12, ntyp = 4
/
ATOMIC_SPECIES
Te 127.60 Te.upf
W 183.84 W.upf
S 32.06 S.upf
Br 79.90 Br.upf
CELL_PARAMETERS angstrom
6.599 0.000 0.000
0.930 7.991 0.000
3.295 3.643 7.219
ATOMIC_POSITIONS crystal
Te 0.034 0.329 0.339
Te 0.129 0.899 0.271
Te 0.382 0.795 0.795
Te 0.618 0.205 0.205
Te 0.871 0.101 0.729
Te 0.966 0.671 0.661
W 0.224 0.000 0.501
W 0.776 0.000 0.499
S 0.473 0.223 0.491
S 0.527 0.777 0.509
Br 0.265 0.225 0.913
Br 0.735 0.775 0.087
```

Properties
The calculation puts the volume at 31.72 A^3/atom. The value obtained for the energy relative to the lowest polymorph listed for this composition is 37 meV/atom. The calculation puts the uncorrected energy at -29.51 eV per formula unit.



Here is a relaxed structure of RbFe4P3 from OQMD. Energies are from GGA-PBE. Values from VASP.

Structure (Quantum ESPRESSO input):
```
&SYSTEM
  ibrav = 0, nat = 8, ntyp = 3
/
ATOMIC_SPECIES
Rb 85.47 Rb.upf
Fe 55.84 Fe.upf
P 30.97 P.upf
CELL_PARAMETERS angstrom
1.856 1.071 10.817
-1.856 1.071 10.817
0.000 -2.143 10.817
ATOMIC_POSITIONS crystal
Rb 0.000 0.000 0.000
Fe 0.187 0.187 0.187
Fe 0.431 0.431 0.431
Fe 0.569 0.569 0.569
Fe 0.813 0.813 0.813
P 0.254 0.254 0.254
P 0.500 0.500 0.500
P 0.746 0.746 0.746
```

Properties
The calculation puts the volume at 16.13 A^3/atom. The calculation puts the uncorrected energy at -53.15 eV per formula unit.



Here is a relaxed structure of Co2P from OQMD. Energies are from GGA-PBE. Values from VASP.

Structure (Quantum ESPRESSO input):
```
&SYSTEM
  ibrav = 0, nat = 6, ntyp = 2
/
ATOMIC_SPECIES
Co 58.93 Co.upf
P 30.97 P.upf
CELL_PARAMETERS angstrom
4.797 0.000 0.000
0.000 4.797 0.000
0.000 0.000 3.401
ATOMIC_POSITIONS crystal
Co 0.190 0.190 0.000
Co 0.310 0.690 0.500
Co 0.690 0.310 0.500
Co 0.810 0.810 0.000
P 0.000 0.000 0.500
P 0.500 0.500 0.000
```

Properties
The calculation puts the volume at 13.04 A^3/atom. The calculation puts the uncorrected energy at -19.74 eV per formula unit.



Here is a relaxed structure of LuInGaTe3 from OQMD. Energies are from GGA-PBE. Values from VASP.

Structure (Quantum ESPRESSO input):
```
&SYSTEM
  ibrav = 0, nat = 12, ntyp = 4
/
ATOMIC_SPECIES
Lu 174.97 Lu.upf
In 114.82 In.upf
Ga 69.72 Ga.upf
Te 127.60 Te.upf
CELL_PARAMETERS angstrom
2.235 -7.498 0.000
2.235 7.498 0.000
0.000 0.000 11.352
ATOMIC_POSITIONS crystal
Lu 0.000 0.000 0.000
Lu 0.000 0.000 0.500
In 0.248 0.752 0.750
In 0.752 0.248 0.250
Ga 0.463 0.537 0.250
Ga 0.537 0.463 0.750
Te 0.079 0.921 0.250
Te 0.363 0.637 0.047
Te 0.363 0.637 0.453
Te 0.637 0.363 0.547
Te 0.637 0.363 0.953
Te 0.921 0.079 0.750
```

Properties
The calculation puts the volume at 31.70 A^3/atom. The value obtained for the energy relative to the lowest polymorph listed for this composition is 0 meV/atom. The calculation puts the uncorrected energy at -23.37 eV per formula unit.



Here is a relaxed structure of PaNbPO from OQMD. Energies are from GGA-PBE. Values from VASP.

Structure (Quantum ESPRESSO input):
```
&SYSTEM
  ibrav = 0, nat = 8, ntyp = 4
/
ATOMIC_SPECIES
Pa 231.04 Pa.upf
Nb 92.91 Nb.upf
P 30.97 P.upf
O 16.00 O.upf
CELL_PARAMETERS angstrom
4.302 0.000 0.000
0.000 4.727 0.000
0.000 0.000 6.694
ATOMIC_POSITIONS crystal
Pa 0.000 0.161 0.000
Pa 0.000 0.839 0.500
Nb 0.500 0.356 0.350
Nb 0.500 0.644 0.850
P 0.500 0.149 0.703
P 0.500 0.851 0.203
O 0.000 0.358 0.349
O 0.000 0.642 0.849
```

Properties
The calculation puts the volume at 17.02 A^3/atom. The value obtained for the energy relative to the lowest polymorph listed for this composition is 287 meV/atom. The calculation puts the uncorrected energy at -34.44 eV per formula unit.



Here is a relaxed structure of NbGePt from OQMD. Energies are from GGA-PBE. Values from VASP.

Structure (Quantum ESPRESSO input):
```
&SYSTEM
  ibrav = 0, nat = 9, ntyp = 3
/
ATOMIC_SPECIES
Nb 92.91 Nb.upf
Ge 72.64 Ge.upf
Pt 195.08 Pt.upf
CELL_PARAMETERS angstrom
6.591 0.000 0.000
-3.295 5.708 0.000
0.000 0.000 3.925
ATOMIC_POSITIONS crystal
Nb 0.000 0.590 0.000
Nb 0.410 0.410 0.000
Nb 0.590 0.000 0.000
Ge 0.000 0.000 0.000
Ge 0.333 0.667 0.500
Ge 0.667 0.333 0.500
Pt 0.000 0.260 0.500
Pt 0.260 0.000 0.500
Pt 0.740 0.740 0.500
```

Properties
The calculation puts the volume at 16.41 A^3/atom. The calculation puts the uncorrected energy at -22.26 eV per formula unit.



Here is a relaxed structure of TaCoBIr from OQMD. Energies are from GGA-PBE. Values from VASP.

Structure (Quantum ESPRESSO input):
```
&SYSTEM
  ibrav = 0, nat = 4, ntyp = 4
/
ATOMIC_SPECIES
Ta 180.95 Ta.upf
Co 58.93 Co.upf
B 10.81 B.upf
Ir 192.22 Ir.upf
CELL_PARAMETERS angstrom
0.000 2.972 2.972
2.972 0.000 2.972
2.972 2.972 0.000
ATOMIC_POSITIONS crystal
Ta 0.000 0.000 0.000
Co 0.500 0.500 0.500
B 0.250 0.250 0.250
Ir 0.750 0.750 0.750
```

Properties
The calculation puts the volume at 13.12 A^3/atom. The value obtained for the energy relative to the lowest polymorph listed for this composition is 206 meV/atom. The calculation puts the uncorrected energy at -33.06 eV per formula unit.